Below is crystalline In3Sn3Bi at its relaxed geometry, with properties calculated at the PBE level.

The structure belongs to space group Pm-3n (No. 223); the cell edges are 8.0701, 8.0701 and 8.0701 Å and the angles 90.00°, 90.00° and 90.00°. Symmetry generates all atoms from In at (0.0000, 0.2500, 0.5000), Sn at (0.0000, 0.5000, 0.2500) and Bi at (0.0000, 0.0000, 0.0000).

For the magnetization, the calculation gives 0.2 μB per cell. The calculated formation energy is 3.5 eV/f.u. For the distance to the lowest polymorph of the same formula, the calculation gives 443 meV/atom. The calculated volume is 526 Å³/cell.